1:
Compound: CaSnRu3
Source: the Alexandria database
Functional: PBE
Structure: relaxed

* V: 21.2 Å³ per atom

Cell lengths 4.730, 4.730, 4.730 Å; angles 90.00, 90.00, 90.00 degrees
Last column: magnetic moment on the atom in μB.
Element x y z (fractional)
1 Ru 0.000 0.500 0.000  1.36
2 Sn 0.500 0.500 0.500  -0.05
3 Ru 0.000 0.000 0.500  1.37
4 Ru 0.500 0.000 0.000  1.34
5 Ca 0.000 0.000 0.000  -0.06



2:
Compound: CaSnRu3
Source: the Alexandria database
Functional: PBE
Structure: relaxed

* V: 23.2 Å³ per atom

Cell lengths 4.874, 4.874, 4.874 Å; angles 90.00, 90.00, 90.00 degrees
Last column: magnetic moment on the atom in μB.
Element x y z (fractional)
1 Ru 0.000 0.000 0.500  1.48
2 Ru 0.000 0.500 0.000  1.37
3 Ca 0.500 0.500 0.500  -0.02
4 Sn 0.000 0.000 0.000  -0.08
5 Ru 0.500 0.000 0.000  0.93



It comes down to 2, which is 74.3 kJ/mol of atoms more stable than the next structure.



1:
Compound: SrCa2Ru
Source: the Alexandria database
Functional: PBE
Structure: relaxed

* V: 33.8 Å³ per atom

Cell lengths 6.932, 6.932, 6.964 Å; angles 52.41, 52.41, 31.48 degrees
Element x y z (fractional)
1 Ca 0.011 0.011 0.931
2 Sr 0.188 0.188 0.255
3 Ca 0.832 0.832 0.626
4 Ru 0.469 0.469 0.688



2:
Compound: SrCa2Ru
Source: the Alexandria database
Functional: PBE
Structure: relaxed

* V: 31.8 Å³ per atom

Cell lengths 3.634, 3.634, 9.625 Å; angles 90.00, 90.00, 90.00 degrees
Element x y z (fractional)
1 Ca 0.500 0.500 0.326
2 Ru 0.000 0.000 0.483
3 Ca 0.000 0.000 0.019
4 Sr 0.500 0.500 0.673



It comes down to 1, which is 3.1 kJ/mol of atoms more stable than the next structure.



1:
Compound: Sr2CaRu
Source: the Alexandria database
Functional: PBE
Structure: relaxed

* V: 29.8 Å³ per atom

Cell lengths 5.565, 5.565, 5.565 Å; angles 121.36, 121.36, 87.67 degrees
Element x y z (fractional)
1 Sr 0.250 0.750 0.500
2 Sr 0.000 0.000 0.000
3 Ca 0.500 0.500 0.000
4 Ru 0.750 0.250 0.500



2:
Compound: Sr2CaRu
Source: the Alexandria database
Functional: PBE
Structure: relaxed

* V: 36.5 Å³ per atom

Cell lengths 8.639, 8.639, 5.049 Å; angles 73.03, 73.03, 23.92 degrees
Element x y z (fractional)
1 Sr 0.903 0.903 0.097
2 Ru 0.250 0.250 0.250
3 Ca 0.750 0.750 0.750
4 Sr 0.597 0.597 0.403



3:
Compound: Sr2CaRu
Source: the Alexandria database
Functional: PBE
Structure: relaxed

* V: 34.1 Å³ per atom

Cell lengths 3.696, 3.696, 9.988 Å; angles 90.00, 90.00, 89.97 degrees
Element x y z (fractional)
1 Ru 0.500 0.500 0.733
2 Ca 0.000 0.000 0.584
3 Sr 0.500 0.500 0.269
4 Sr 0.000 0.000 0.915



4:
Compound: Sr2CaRu
Source: the Alexandria database
Functional: PBE
Structure: relaxed

* V: 36.2 Å³ per atom

Cell lengths 11.454, 11.454, 11.454 Å; angles 19.40, 19.40, 19.40 degrees
Last column: magnetic moment on the atom in μB.
Element x y z (fractional)
1 Ru 0.750 0.750 0.750  0.28
2 Ca 0.250 0.250 0.250  0.00
3 Sr 0.024 0.024 0.024  -0.01
4 Sr 0.476 0.476 0.476  -0.01



It comes down to 3, which is 1.1 kJ/mol of atoms more stable than the next structure.



1:
Compound: Sr2CaRu
Source: the Alexandria database
Functional: PBE
Structure: relaxed

* V: 34.8 Å³ per atom

Cell lengths 7.354, 7.354, 7.354 Å; angles 150.84, 133.66, 55.69 degrees
Element x y z (fractional)
1 Ru 0.255 0.755 0.500
2 Sr 0.074 0.074 0.000
3 Ca 0.420 0.420 0.000
4 Sr 0.752 0.252 0.500



2:
Compound: Sr2CaRu
Source: the Alexandria database
Functional: PBE
Structure: relaxed

* V: 30.4 Å³ per atom

Cell lengths 5.561, 5.561, 5.561 Å; angles 60.00, 60.00, 60.00 degrees
Element x y z (fractional)
1 Ca 0.000 0.000 0.000
2 Ru 0.500 0.500 0.500
3 Sr 0.250 0.250 0.250
4 Sr 0.750 0.750 0.750



3:
Compound: Sr2CaRu
Source: the Alexandria database
Functional: PBE
Structure: relaxed

* V: 30.5 Å³ per atom

Cell lengths 4.984, 4.984, 4.911 Å; angles 89.99, 89.99, 90.00 degrees
Element x y z (fractional)
1 Sr 0.000 0.000 0.000
2 Ru 0.000 0.500 0.500
3 Sr 0.500 0.500 0.000
4 Ca 0.500 0.000 0.500



It comes down to 1, which is 16.0 kJ/mol of atoms more stable than the next structure.



1:
Compound: Sr2CaRu
Source: the Alexandria database
Functional: PBE
Structure: relaxed

* V: 34.3 Å³ per atom

Cell lengths 3.696, 3.697, 10.050 Å; angles 90.00, 90.00, 90.00 degrees
Element x y z (fractional)
1 Sr 0.000 0.000 0.924
2 Sr 0.000 0.000 0.576
3 Ru 0.500 0.500 0.750
4 Ca 0.500 0.500 0.250



2:
Compound: Sr2CaRu
Source: the Alexandria database
Functional: PBE
Structure: relaxed

* V: 39.9 Å³ per atom

Cell lengths 10.696, 10.696, 8.062 Å; angles 48.44, 48.44, 90.00 degrees
Element x y z (fractional)
1 Ca 0.500 0.500 0.000
2 Sr 0.375 0.228 0.750
3 Sr 0.772 0.125 0.250
4 Sr 0.978 0.625 0.250
5 Sr 0.875 0.022 0.750
6 Ca 0.250 0.750 0.500
7 Ru 0.000 0.000 0.000
8 Ru 0.750 0.250 0.500



It comes down to 1, which is 8.2 kJ/mol of atoms more stable than the next structure.



1:
Compound: Sr3CaRu
Source: the Alexandria database
Functional: PBE
Structure: relaxed

* V: 40.9 Å³ per atom

Cell lengths 5.891, 5.891, 5.891 Å; angles 90.00, 90.00, 90.00 degrees
Element x y z (fractional)
1 Sr 0.000 0.000 0.500
2 Ca 0.500 0.500 0.500
3 Ru 0.000 0.000 0.000
4 Sr 0.000 0.500 0.000
5 Sr 0.500 0.000 0.000



2:
Compound: Sr3CaRu
Source: the Alexandria database
Functional: PBE
Structure: relaxed

* V: 46.4 Å³ per atom

Cell lengths 6.147, 6.147, 6.147 Å; angles 90.00, 90.00, 90.00 degrees
Element x y z (fractional)
1 Ca 0.000 0.000 0.000
2 Sr 0.000 0.000 0.500
3 Ru 0.500 0.500 0.500
4 Sr 0.000 0.500 0.000
5 Sr 0.500 0.000 0.000



It comes down to 1, which is 139.6 kJ/mol of atoms more stable than the next structure.



1:
Compound: SrCaY2Ru
Source: the Alexandria database
Functional: PBE
Structure: relaxed

* V: 35.0 Å³ per atom

Cell lengths 5.428, 5.428, 5.943 Å; angles 90.00, 90.00, 90.00 degrees
Element x y z (fractional)
1 Ca 0.500 0.500 0.500
2 Ru 0.000 0.000 0.000
3 Y 0.500 0.000 0.000
4 Sr 0.000 0.000 0.500
5 Y 0.000 0.500 0.000



2:
Compound: SrCaY2Ru
Source: the Alexandria database
Functional: PBE
Structure: relaxed

* V: 34.1 Å³ per atom

Cell lengths 5.433, 5.433, 5.778 Å; angles 90.00, 90.00, 90.00 degrees
Element x y z (fractional)
1 Ca 0.000 0.000 0.500
2 Sr 0.500 0.500 0.500
3 Y 0.000 0.500 0.000
4 Y 0.500 0.000 0.000
5 Ru 0.000 0.000 0.000



It comes down to 2, which is 6.8 kJ/mol of atoms more stable than the next structure.



1:
Compound: CaTa2Ru
Source: the Alexandria database
Functional: PBE
Structure: relaxed

* V: 19.4 Å³ per atom

Cell lengths 5.803, 5.803, 4.938 Å; angles 64.82, 64.82, 31.36 degrees
Element x y z (fractional)
1 Ru 0.250 0.250 0.250
2 Ta 0.966 0.966 0.034
3 Ta 0.534 0.534 0.466
4 Ca 0.750 0.750 0.750



2:
Compound: CaTa2Ru
Source: the Alexandria database
Functional: PBE
Structure: relaxed

* V: 19.1 Å³ per atom

Cell lengths 4.820, 3.979, 3.979 Å; angles 90.00, 90.00, 90.00 degrees
Element x y z (fractional)
1 Ca 0.500 0.500 0.000
2 Ta 0.000 0.500 0.500
3 Ta 0.000 0.000 0.000
4 Ru 0.500 0.000 0.500



It comes down to 1, which is 37.4 kJ/mol of atoms more stable than the next structure.



1:
Compound: CaTa2Ru
Source: the Alexandria database
Functional: PBE
Structure: relaxed

* V: 21.2 Å³ per atom

Cell lengths 4.218, 3.078, 6.788 Å; angles 74.17, 90.00, 90.00 degrees
Element x y z (fractional)
1 Ca 0.000 0.541 0.517
2 Ru 0.500 0.724 0.819
3 Ta 0.000 0.948 0.984
4 Ta 0.500 0.288 0.181



2:
Compound: CaTa2Ru
Source: the Alexandria database
Functional: PBE
Structure: relaxed

* V: 18.5 Å³ per atom

Cell lengths 5.353, 5.641, 2.880 Å; angles 80.92, 78.15, 114.97 degrees
Element x y z (fractional)
1 Ru 0.500 0.500 0.000
2 Ca 0.000 0.500 0.500
3 Ta 0.000 0.000 0.000
4 Ta 0.500 0.000 0.500



It comes down to 1, which is 19.4 kJ/mol of atoms more stable than the next structure.



1:
Compound: CaTa2Ru
Source: the Alexandria database
Functional: PBE
Structure: relaxed

* V: 19.0 Å³ per atom

Cell lengths 4.579, 3.014, 5.647 Å; angles 77.58, 90.00, 90.00 degrees
Element x y z (fractional)
1 Ru 0.500 0.750 0.750
2 Ca 0.500 0.250 0.250
3 Ta 0.000 0.538 0.532
4 Ta 0.000 0.962 0.968



2:
Compound: CaTa2Ru
Source: the Alexandria database
Functional: PBE
Structure: relaxed

* V: 18.9 Å³ per atom

Cell lengths 5.659, 5.659, 5.659 Å; angles 139.50, 139.50, 58.61 degrees
Element x y z (fractional)
1 Ta 0.000 0.000 0.000
2 Ca 0.250 0.750 0.500
3 Ta 0.500 0.500 0.000
4 Ru 0.750 0.250 0.500



3:
Compound: CaTa2Ru
Source: the Alexandria database
Functional: PBE
Structure: relaxed

* V: 20.0 Å³ per atom

Cell lengths 9.503, 9.503, 9.503 Å; angles 19.06, 19.06, 19.06 degrees
Element x y z (fractional)
1 Ta 0.261 0.261 0.261
2 Ru 0.739 0.739 0.739
3 Ca 0.492 0.492 0.492
4 Ta 0.007 0.007 0.007



4:
Compound: CaTa2Ru
Source: the Alexandria database
Functional: PBE
Structure: relaxed

* V: 19.7 Å³ per atom

Cell lengths 9.959, 9.959, 9.959 Å; angles 17.58, 17.58, 17.58 degrees
Element x y z (fractional)
1 Ta 0.013 0.013 0.013
2 Ta 0.487 0.487 0.487
3 Ca 0.250 0.250 0.250
4 Ru 0.750 0.750 0.750



It comes down to 3, which is 7.4 kJ/mol of atoms more stable than the next structure.



1:
Compound: CaTa2Ru
Source: the Alexandria database
Functional: PBE
Structure: relaxed

* V: 20.5 Å³ per atom

Cell lengths 3.148, 3.148, 8.289 Å; angles 90.00, 90.00, 90.02 degrees
Element x y z (fractional)
1 Ta 0.000 0.000 0.967
2 Ca 0.000 0.000 0.538
3 Ta 0.500 0.500 0.195
4 Ru 0.500 0.500 0.800



2:
Compound: CaTa2Ru
Source: the Alexandria database
Functional: PBE
Structure: relaxed

* V: 18.0 Å³ per atom

Cell lengths 4.674, 4.674, 4.674 Å; angles 60.00, 60.00, 60.00 degrees
Element x y z (fractional)
1 Ca 0.000 0.000 0.000
2 Ta 0.750 0.750 0.750
3 Ru 0.500 0.500 0.500
4 Ta 0.250 0.250 0.250



3:
Compound: CaTa2Ru
Source: the Alexandria database
Functional: PBE
Structure: relaxed

* V: 18.2 Å³ per atom

Cell lengths 4.791, 4.791, 3.172 Å; angles 90.00, 90.00, 90.00 degrees
Element x y z (fractional)
1 Ta 0.000 0.000 0.000
2 Ca 0.500 0.000 0.500
3 Ru 0.000 0.500 0.500
4 Ta 0.500 0.500 0.000



It comes down to 1, which is 38.1 kJ/mol of atoms more stable than the next structure.